A plane-wave DFT calculation with GGA-PBE was carried out for a relaxed Tb2HoMg3Pd2Pt crystal.

CIF file:
```
data_Tb2HoMg3Pd2Pt
_chemical_formula_sum 'Tb4 Ho2 Mg6 Pd4 Pt2'
_space_group_name_H-M_alt 'A m m 2'
_space_group_IT_number 38
_space_group_name_Hall 'A 2 -2'
_cell_length_a 4.099
_cell_length_b 12.807
_cell_length_c 7.386
_cell_angle_alpha 90.00
_cell_angle_beta 90.00
_cell_angle_gamma 90.00
loop_
_atom_site_label
_atom_site_type_symbol
_atom_site_fract_x
_atom_site_fract_y
_atom_site_fract_z
Tb1 Tb 0.000 0.204 0.000
Ho1 Ho 0.000 0.000 0.389
Mg1 Mg 0.500 0.000 0.040
Mg2 Mg 0.500 0.122 0.674
Pd1 Pd 0.500 0.166 0.296
Pt1 Pt 0.000 0.000 0.794
```

---

A plane-wave DFT calculation with GGA-PBE was carried out for a relaxed TbHo2Mg3Pd2Pt crystal.

CIF file:
```
data_TbHo2Mg3Pd2Pt
_chemical_formula_sum 'Tb2 Ho4 Mg6 Pd4 Pt2'
_space_group_name_H-M_alt 'A m m 2'
_space_group_IT_number 38
_space_group_name_Hall 'A 2 -2'
_cell_length_a 4.104
_cell_length_b 12.761
_cell_length_c 7.375
_cell_angle_alpha 90.00
_cell_angle_beta 90.00
_cell_angle_gamma 90.00
loop_
_atom_site_label
_atom_site_type_symbol
_atom_site_fract_x
_atom_site_fract_y
_atom_site_fract_z
Tb1 Tb 0.000 0.000 0.000
Ho1 Ho 0.000 0.203 0.611
Mg1 Mg 0.500 0.000 0.652
Mg2 Mg 0.500 0.123 0.286
Pd1 Pd 0.500 0.168 0.908
Pt1 Pt 0.000 0.000 0.410
```

---

A plane-wave DFT calculation with GGA-PBE was carried out for a relaxed HoTm2Mg3Pd2Pt crystal.

CIF file:
```
data_HoTm2Mg3Pd2Pt
_chemical_formula_sum 'Ho2 Tm4 Mg6 Pd4 Pt2'
_space_group_name_H-M_alt 'A m m 2'
_space_group_IT_number 38
_space_group_name_Hall 'A 2 -2'
_cell_length_a 4.095
_cell_length_b 12.676
_cell_length_c 7.321
_cell_angle_alpha 90.00
_cell_angle_beta 90.00
_cell_angle_gamma 90.00
loop_
_atom_site_label
_atom_site_type_symbol
_atom_site_fract_x
_atom_site_fract_y
_atom_site_fract_z
Ho1 Ho 0.000 0.000 0.000
Tm1 Tm 0.000 0.203 0.611
Mg1 Mg 0.500 0.000 0.653
Mg2 Mg 0.500 0.123 0.285
Pd1 Pd 0.500 0.168 0.907
Pt1 Pt 0.000 0.000 0.409
```

---

Number 1: total DFT energy (no corrections) -83.80 eV for the cell shown. Number 2: total DFT energy (no corrections) -83.75 eV for the cell shown. Number 3: total DFT energy (no corrections) -83.36 eV for the cell shown.